A relaxed structure of TbNdTlAg. Source: the Alexandria database, functional PBE.

Summary:
**Space-group type**: F-43m (216)
**Energy relative to the lowest polymorph listed for this composition**: 0.006 eV/atom
**ΔH_f (0 K)**: -0.324 eV/atom
**Volume**: 109 Å³ per cell
**D(E_F)**: 3.65 states/eV/f.u.

Unit cell a=5.361 b=5.361 c=5.361 alpha=60.00 beta=60.00 gamma=60.00
Sites, in units of the cell vectors:
Tb: 0.000 0.000 0.000
Nd: 0.500 0.500 0.500
Tl: 0.250 0.250 0.250
Ag: 0.750 0.750 0.750

---

A relaxed structure of TbNdTlAg. Source: the Alexandria database, functional PBE.

Summary:
**Space-group type**: P4mm (99)
**Energy relative to the lowest polymorph listed for this composition**: 0.000 eV/atom
**ΔH_f (0 K)**: -0.330 eV/atom
**Volume**: 108 Å³ per cell
**D(E_F)**: 3.56 states/eV/f.u.

Unit cell a=3.705 b=3.705 c=7.896 alpha=90.00 beta=90.00 gamma=90.00
Sites, in units of the cell vectors:
Tb: 0.000 0.000 0.000
Nd: 0.000 0.000 0.470
Tl: 0.500 0.500 0.742
Ag: 0.500 0.500 0.214

---

A relaxed structure of Tb2NdTmAg4. Source: the Alexandria database, functional PBE.

Summary:
**Space-group type**: R-3m (166)
**ΔH_f (0 K)**: -0.300 eV/atom
**Volume**: 197 Å³ per cell
**D(E_F)**: 5.33 states/eV/f.u.

Unit cell a=9.008 b=9.008 c=9.008 alpha=33.39 beta=33.39 gamma=33.39
Sites, in units of the cell vectors:
Tb: 0.249 0.249 0.249
Tb: 0.751 0.751 0.751
Nd: 0.000 0.000 0.000
Tm: 0.500 0.500 0.500
Ag: 0.127 0.127 0.127
Ag: 0.379 0.379 0.379
Ag: 0.621 0.621 0.621
Ag: 0.873 0.873 0.873

---

A relaxed structure of TbNdYAg. Source: the Alexandria database, functional PBE.

Summary:
**Space-group type**: P4mm (99)
**ΔH_f (0 K)**: -0.136 eV/atom
**Volume**: 117 Å³ per cell
**D(E_F)**: 5.00 states/eV/f.u.

Unit cell a=3.639 b=3.639 c=8.811 alpha=90.00 beta=90.00 gamma=90.00
Sites, in units of the cell vectors:
Tb: 0.000 0.000 0.000
Nd: 0.500 0.500 0.291
Y: 0.000 0.000 0.585
Ag: 0.500 0.500 0.792

---

A relaxed structure of Nd8TcAg2. Source: the Alexandria database, functional PBE.

Summary:
**Space-group type**: Cm (8)
**Energy relative to the lowest polymorph listed for this composition**: 0.033 eV/atom
**ΔH_f (0 K)**: -0.008 eV/atom
**Volume**: 336 Å³ per cell
**D(E_F)**: 12.32 states/eV/f.u.

Unit cell a=8.992 b=8.992 c=6.398 alpha=105.75 beta=105.75 gamma=125.91
Sites, in units of the cell vectors:
Nd: 0.000 0.000 0.000
Nd: 0.166 0.926 0.573
Nd: 0.399 0.623 0.238
Nd: 0.451 0.451 0.673
Nd: 0.533 0.915 0.898
Nd: 0.623 0.399 0.238
Nd: 0.915 0.533 0.898
Nd: 0.926 0.166 0.573
Tc: 0.778 0.778 0.182
Ag: 0.034 0.454 0.354
Ag: 0.454 0.034 0.354

---

A relaxed structure of Nd8TcAg2. Source: the Alexandria database, functional PBE.

Summary:
**Space-group type**: C2/m (12)
**Energy relative to the lowest polymorph listed for this composition**: 0.000 eV/atom
**ΔH_f (0 K)**: -0.041 eV/atom
**Volume**: 327 Å³ per cell
**D(E_F)**: 12.72 states/eV/f.u.

Unit cell a=9.307 b=9.307 c=7.161 alpha=105.14 beta=105.14 gamma=33.25
Sites, in units of the cell vectors:
Nd: 0.022 0.022 0.287
Nd: 0.201 0.201 0.808
Nd: 0.342 0.342 0.526
Nd: 0.410 0.410 0.056
Nd: 0.590 0.590 0.944
Nd: 0.658 0.658 0.474
Nd: 0.799 0.799 0.192
Nd: 0.978 0.978 0.713
Tc: 0.500 0.500 0.500
Ag: 0.184 0.184 0.217
Ag: 0.816 0.816 0.783